A relaxed TaTl2Tc crystal. Source: the Alexandria database, functional PBE.

Values from the calculation:
The crystal system is orthorhombic. The formation energy comes out at 529 meV per atom. The calculation puts the energy above the most stable polymorph in this dataset at 247.8 meV/atom. The calculation puts the density of states at the Fermi level at 2.44 states/eV/cell. The final energy is -6.209 eV per atom. The calculation puts the calculated volume at 22.02 Å³/atom.

a = 6.4656 Å, b = 6.4656 Å, c = 6.4656 Å
α = 151.95°, β = 135.83°, γ = 53.14°
With the nearest neighbours (Å) after each atom.
Fractional positions:
Ta  0.0000  0.0000  0.0000  2 Tc 2.48
Tl  0.4153  0.4153  0.0000  4 Ta 3.05, 2 Tl 3.13, 2 Tc 3.28
Tl  0.7008  0.2008  0.5000  4 Tc 2.92, 2 Tl 3.13
Tc  0.1659  0.6659  0.5000  2 Ta 2.48

A relaxed Ta3TlTc crystal. Source: the Alexandria database, functional PBE.

Values from the calculation:
The crystal system is cubic. The formation energy comes out at 1089 meV per atom. The calculation puts the energy above the most stable polymorph in this dataset at 0.0 meV/atom. The calculation puts the density of states at the Fermi level at 2.78 states/eV/cell. The final energy is -8.569 eV per atom. The calculation puts the calculated volume at 22.66 Å³/atom.

a = 4.8392 Å, b = 4.8392 Å, c = 4.8392 Å
α = 90.00°, β = 90.00°, γ = 90.00°
With the nearest neighbours (Å) after each atom.
Fractional positions:
Ta  0.0000  0.0000  0.5000  2 Tc 2.42
Ta  0.0000  0.5000  0.0000  2 Tc 2.42
Ta  0.5000  0.0000  0.0000  2 Tc 2.42
Tl  0.5000  0.5000  0.5000  12 Ta 3.42
Tc  0.0000  0.0000  0.0000  6 Ta 2.42

A relaxed TaTlTc2 crystal. Source: the Alexandria database, functional PBE.

Values from the calculation:
The crystal system is monoclinic. The formation energy comes out at 369 meV per atom. The calculation puts the energy above the most stable polymorph in this dataset at 175.5 meV/atom. The calculation puts the density of states at the Fermi level at 3.56 states/eV/cell. The final energy is -8.369 eV per atom. The calculation puts the calculated volume at 17.59 Å³/atom.

a = 4.8387 Å, b = 4.8387 Å, c = 5.1159 Å
α = 103.37°, β = 103.37°, γ = 37.27°
With the nearest neighbours (Å) after each atom.
Fractional positions:
Ta  0.0000  0.0000  0.0000  6 Tc 2.67-2.91, 4 Tl 2.99
Tl  0.5000  0.5000  0.5000  6 Tc 2.87-2.94, 4 Ta 2.99, 2 Tl 3.09
Tc  0.2647  0.2647  0.7809  3 Ta 2.67-2.91, 2 Tc 2.79, 3 Tl 2.87-2.94
Tc  0.7353  0.7353  0.2191  3 Ta 2.67-2.91, 2 Tc 2.79, 3 Tl 2.87-2.94

A relaxed TaTlTc2 crystal. Source: the Alexandria database, functional PBE.

Values from the calculation:
The crystal system is tetragonal. The formation energy comes out at 273 meV per atom. The calculation puts the energy above the most stable polymorph in this dataset at 79.9 meV/atom. The calculation puts the density of states at the Fermi level at 3.10 states/eV/cell. The final energy is -8.464 eV per atom. The calculation puts the calculated volume at 17.60 Å³/atom.

a = 2.9415 Å, b = 2.9415 Å, c = 8.1370 Å
α = 90.00°, β = 90.00°, γ = 90.00°
With the nearest neighbours (Å) after each atom.
Fractional positions:
Ta  0.0000  0.0000  0.0000  4 Tc 2.87, 4 Ta 2.94, 4 Tl 3.17
Tl  0.5000  0.5000  0.7062  4 Tl 2.94, 4 Tc 3.04, 4 Ta 3.17
Tc  0.0000  0.0000  0.4333  4 Tc 2.59
Tc  0.5000  0.5000  0.2438  4 Tc 2.59, 4 Ta 2.87